# NaH6Pd3 (PBE, optimized geometry)
# Total DFT energy (no corrections)   -0.2795 Ry per atom
# Magnetization   0.0 μB per cell
data_NaH6Pd3
_space_group_name_H-M_alt 'P 1'
_space_group_IT_number 1
_space_group_name_Hall 'P 1'
_cell_length_a 2.998
_cell_length_b 7.975
_cell_length_c 7.770
_cell_angle_alpha 108.67
_cell_angle_beta 90.00
_cell_angle_gamma 90.00
loop_
_atom_site_label
_atom_site_type_symbol
_atom_site_fract_x
_atom_site_fract_y
_atom_site_fract_z
Pd1 Pd 0.250 0.308 0.484
Pd2 Pd 0.750 0.160 0.110
Pd3 Pd 0.750 0.692 0.516
Pd4 Pd 0.250 0.502 0.169
Pd5 Pd 0.250 0.840 0.890
Pd6 Pd 0.750 0.498 0.831
H1 H 0.750 0.916 0.036
H2 H 0.750 0.719 0.766
H3 H 0.750 0.643 0.262
H4 H 0.250 0.357 0.738
H5 H 0.750 0.378 0.034
H6 H 0.250 0.084 0.964
H7 H 0.750 0.163 0.421
H8 H 0.750 0.453 0.577
H9 H 0.250 0.622 0.966
H10 H 0.250 0.837 0.579
H11 H 0.250 0.547 0.423
H12 H 0.250 0.281 0.234
Na1 Na 0.750 0.100 0.713
Na2 Na 0.250 0.900 0.287